A geometry-optimized PrY6In3 structure, computed with GGA-PBE.

Computed properties:
- Total magnetic moment: 0.000 μB per cell
- ΔE_f: -0.16 eV per atom

a = 7.9598 Å, b = 9.0981 Å, c = 9.0981 Å
α = 103.61°, β = 90.00°, γ = 90.00°
Fractional positions:
Pr (0.0968, 0.2234, 0.7766)
Pr (0.5968, 0.7766, 0.2234)
Y (0.1242, 0.7252, 0.6522)
Y (0.6242, 0.6522, 0.7252)
Y (0.3011, 0.5644, 0.9418)
Y (0.8011, 0.9418, 0.5644)
Y (0.2478, 0.9689, 0.0311)
Y (0.5937, 0.2660, 0.7340)
Y (0.0937, 0.7340, 0.2660)
Y (0.7478, 0.0311, 0.9689)
Y (0.3011, 0.0582, 0.4356)
Y (0.8011, 0.4356, 0.0582)
Y (0.1242, 0.3478, 0.2748)
Y (0.6242, 0.2748, 0.3478)
In (0.4338, 0.9472, 0.7175)
In (0.9338, 0.7175, 0.9472)
In (0.3288, 0.4226, 0.5774)
In (0.8288, 0.5774, 0.4226)
In (0.9338, 0.0528, 0.2825)
In (0.4338, 0.2825, 0.0528)